one) MoPbW | Alexandria via LeMat-Bulk | GGA-PBE | optimized geometry; space-group type = F-43m, No. 216
1.0
0.000 3.183 3.183
3.183 0.000 3.183
3.183 3.183 0.000
Mo Pb W
1 1 1
Direct
0.000 0.000 0.000
0.250 0.250 0.250
0.750 0.750 0.750

two) MoPbW | Alexandria via LeMat-Bulk | GGA-PBE | optimized geometry; space-group type = P3m1, No. 156
1.0
4.660 0.000 0.000
-2.330 4.036 0.000
0.000 0.000 2.961
Mo Pb W
1 1 1
Direct
0.000 0.000 0.000
0.333 0.667 0.357
0.667 0.333 0.716

Most stable = two)